DFT (PBE) results for crystalline Pm4ScHg at its relaxed geometry. Values from VASP.

```
&SYSTEM
  ibrav = 0, nat = 6, ntyp = 3
/
ATOMIC_SPECIES
Sc 44.96 Sc.upf
Pm 145.00 Pm.upf
Hg 200.59 Hg.upf
CELL_PARAMETERS angstrom
5.300 0.000 -0.002
0.000 5.301 -0.003
0.004 0.005 7.406
ATOMIC_POSITIONS angstrom
Sc 2.660 2.641 7.391
Pm 2.660 5.292 5.514
Pm 2.658 5.286 1.857
Pm 0.007 2.637 1.860
Pm 0.010 2.641 5.516
Hg 0.009 5.289 3.687
```

The calculation puts the formation energy at 0.247 eV per atom. The total magnetic moment comes out at 0.00 μB/cell. The value obtained for the energy relative to the lowest polymorph listed for this composition is 374 meV/atom.

DFT (PBE) results for crystalline ZnInBrCl2 at its relaxed geometry. Values from VASP.

```
&SYSTEM
  ibrav = 0, nat = 5, ntyp = 4
/
ATOMIC_SPECIES
In 114.82 In.upf
Cl 35.45 Cl.upf
Br 79.90 Br.upf
Zn 65.41 Zn.upf
CELL_PARAMETERS angstrom
4.930 0.000 0.000
0.000 4.930 0.000
0.000 0.000 5.322
ATOMIC_POSITIONS angstrom
In 2.465 2.465 2.661
Cl 2.465 0.000 0.000
Cl 0.000 2.465 0.000
Br 0.000 0.000 2.661
Zn 0.000 0.000 0.000
```

Its formation energy (no corrections) is -0.828 eV per atom. The total magnetic moment comes out at 0.00 μB/cell. The value obtained for the energy relative to the lowest polymorph listed for this composition is 97 meV/atom.

no.,final energy (eV per atom)
1,-4.0254
2,-2.7039